(1)
Computed, not measured: crystalline Cd2SiHPt6 at its relaxed geometry at the PBE level of DFT.

Values from the calculation:
**Electronic total energy**: -4.9717 eV per atom
**D(E_F)**: 2.302 states/eV/f.u.
**Total moment**: 0.0 μB per cell

Cell lengths 5.5988, 5.6043, 6.6892 Å; angles 114.52, 90.13, 119.95 degrees
Closest atoms and distances in Å follow each position.
Space group P-1 (No. 2)
Unique sites:
Cd1 0.2135 0.4289 0.1455 (multiplicity 2)  9 Pt 2.94-3.09
Si1 0.5000 0.0000 0.0000 (multiplicity 1)  6 Pt 2.37-2.38
H1 0.0000 0.0000 0.5000 (multiplicity 1)  6 Pt 2.01-2.03
Pt1 0.2373 0.9684 0.7007 (multiplicity 2)  1 H 2.01
Pt2 0.2380 0.4731 0.7000 (multiplicity 2)  1 H 2.03
Pt3 0.2657 0.0295 0.2966 (multiplicity 2)  1 H 2.01

***

(2)
Computed, not measured: crystalline NaPAu3 at its relaxed geometry at the PBE level of DFT.

Values from the calculation:
**D(E_F)**: 2.257 states/eV/f.u.
**Energy of formation from the pure elements**: -0.40 eV per formula unit
**Total moment**: 0.0 μB per cell
**Excess energy over the best structure of this formula in the dataset**: 0.0 meV/atom

Cell lengths 4.8281, 4.8281, 4.8281 Å; angles 90.00, 90.00, 90.00 degrees
Closest atoms and distances in Å follow each position.
Space group Pm-3m (No. 221)
Unique sites:
Na1 0.0000 0.0000 0.0000 (multiplicity 1)  12 Au 3.41
P1 0.5000 0.5000 0.5000 (multiplicity 1)  6 Au 2.41
Au1 0.0000 0.5000 0.5000 (multiplicity 3)  2 P 2.41